First-principles (PBE) data for an optimized crystal structure of HfZnOs3, as listed in the Alexandria database.

As for the formation energy from the elements: 2336 meV/atom. The total energy comes out at -6.65 eV/atom. For the volume, the calculation gives 22.19 A^3/atom. Its density is 12.19 Mg/m³. The calculation puts the total moment at 2.0 Bohr magnetons per cell. The calculation puts the distance to the lowest polymorph of the same formula at 1028 meV per atom.

The space group is Pm-3m (No. 221) and the conventional cell measures 4.8051, 4.8051 and 4.8051 Å, with angles of 90.00, 90.00 and 90.00 degrees. The distinct sites, in fractional coordinates, are Hf at (0.0000, 0.0000, 0.0000), Zn at (0.5000, 0.5000, 0.5000) and Os at (0.0000, 0.0000, 0.5000).